{"formula": "Ni2HgRh", "functional": "PBE", "state": "optimized geometry", "lattice_angstrom": [[3.933, 0.000, 0.000], [0.000, 3.933, 0.000], [0.000, 0.000, 7.352]], "species": ["Ni", "Ni", "Ni", "Ni", "Hg", "Hg", "Rh", "Rh"], "fractional_positions": [[0.000, 0.500, 0.250], [0.000, 0.500, 0.750], [0.500, 0.000, 0.250], [0.500, 0.000, 0.750], [0.000, 0.000, 0.000], [0.500, 0.500, 0.500], [0.000, 0.000, 0.500], [0.500, 0.500, 0.000]], "total_energy_ev_per_cell": -36.81, "space_group": "I4/mmm", "formation_energy_mev_per_atom": 202, "dos_at_fermi_per_ev_cell": 9.7, "density_g_cm3": 12.29}